Run one
# TbSm2Cd (PBE, optimized geometry)
# V: 125 Å³/cell
# SG: No. 160
data_TbSm2Cd
_chemical_formula_sum 'Tb1 Sm2 Cd1'
_cell_length_a 11.1446
_cell_length_b 11.1446
_cell_length_c 11.1446
_cell_angle_alpha 18.75
_cell_angle_beta 18.75
_cell_angle_gamma 18.75
_symmetry_space_group_name_H-M 'P 1'
_symmetry_Int_Tables_number 1
loop_
_symmetry_equiv_pos_as_xyz
'x,y,z'
loop_
_atom_site_label
_atom_site_type_symbol
_atom_site_fract_x
_atom_site_fract_y
_atom_site_fract_z
Tb1 Tb 0.0000 0.0000 0.0000
Sm1 Sm 0.5784 0.5784 0.5784
Sm2 Sm 0.7552 0.7552 0.7552
Cd1 Cd 0.1668 0.1668 0.1668


Run two
# TbSm2Cd (PBE, optimized geometry)
# V: 119 Å³/cell
# SG: No. 225
data_TbSm2Cd
_chemical_formula_sum 'Tb1 Sm2 Cd1'
_cell_length_a 5.5172
_cell_length_b 5.5172
_cell_length_c 5.5172
_cell_angle_alpha 60.00
_cell_angle_beta 60.00
_cell_angle_gamma 60.00
_symmetry_space_group_name_H-M 'P 1'
_symmetry_Int_Tables_number 1
loop_
_symmetry_equiv_pos_as_xyz
'x,y,z'
loop_
_atom_site_label
_atom_site_type_symbol
_atom_site_fract_x
_atom_site_fract_y
_atom_site_fract_z
Tb1 Tb 0.0000 0.0000 0.0000
Sm1 Sm 0.2500 0.2500 0.2500
Sm2 Sm 0.7500 0.7500 0.7500
Cd1 Cd 0.5000 0.5000 0.5000


Run three
# TbSm2Cd (PBE, optimized geometry)
# V: 122 Å³/cell
# SG: No. 123
data_TbSm2Cd
_chemical_formula_sum 'Tb1 Sm2 Cd1'
_cell_length_a 3.6500
_cell_length_b 3.6500
_cell_length_c 9.1272
_cell_angle_alpha 90.00
_cell_angle_beta 90.00
_cell_angle_gamma 90.00
_symmetry_space_group_name_H-M 'P 1'
_symmetry_Int_Tables_number 1
loop_
_symmetry_equiv_pos_as_xyz
'x,y,z'
loop_
_atom_site_label
_atom_site_type_symbol
_atom_site_fract_x
_atom_site_fract_y
_atom_site_fract_z
Tb1 Tb 0.0000 0.0000 0.0000
Sm1 Sm 0.5000 0.5000 0.2724
Sm2 Sm 0.5000 0.5000 0.7276
Cd1 Cd 0.0000 0.0000 0.5000


Of them, the most stable is run three and the least stable is run two.


Run one
# TbSm6Cd (PBE, optimized geometry)
# V: 260 Å³/cell
# SG: No. 2
data_TbSm6Cd
_chemical_formula_sum 'Tb1 Sm6 Cd1'
_cell_length_a 6.4071
_cell_length_b 6.4082
_cell_length_c 6.4114
_cell_angle_alpha 94.76
_cell_angle_beta 94.86
_cell_angle_gamma 94.81
_symmetry_space_group_name_H-M 'P 1'
_symmetry_Int_Tables_number 1
loop_
_symmetry_equiv_pos_as_xyz
'x,y,z'
loop_
_atom_site_label
_atom_site_type_symbol
_atom_site_fract_x
_atom_site_fract_y
_atom_site_fract_z
Tb1 Tb 0.0000 0.0000 0.0000
Sm1 Sm 0.0497 0.5433 0.2592
Sm2 Sm 0.2593 0.0495 0.5436
Sm3 Sm 0.4571 0.7406 0.9500
Sm4 Sm 0.5429 0.2594 0.0500
Sm5 Sm 0.7407 0.9505 0.4564
Sm6 Sm 0.9503 0.4567 0.7408
Cd1 Cd 0.5000 0.5000 0.5000


Run two
# TbSm6Cd (PBE, optimized geometry)
# V: 253 Å³/cell
# SG: No. 123
data_TbSm6Cd
_chemical_formula_sum 'Tb1 Sm6 Cd1'
_cell_length_a 4.9842
_cell_length_b 4.9842
_cell_length_c 10.1930
_cell_angle_alpha 90.00
_cell_angle_beta 90.00
_cell_angle_gamma 90.00
_symmetry_space_group_name_H-M 'P 1'
_symmetry_Int_Tables_number 1
loop_
_symmetry_equiv_pos_as_xyz
'x,y,z'
loop_
_atom_site_label
_atom_site_type_symbol
_atom_site_fract_x
_atom_site_fract_y
_atom_site_fract_z
Tb1 Tb 0.0000 0.0000 0.0000
Sm1 Sm 0.0000 0.5000 0.2553
Sm2 Sm 0.0000 0.5000 0.7447
Sm3 Sm 0.5000 0.0000 0.2553
Sm4 Sm 0.5000 0.0000 0.7447
Sm5 Sm 0.5000 0.5000 0.0000
Sm6 Sm 0.5000 0.5000 0.5000
Cd1 Cd 0.0000 0.0000 0.5000


Of them, the most stable is run two and the least stable is run one.


Run one
# Tb6Sm2Cd (PBE, optimized geometry)
# V: 561 Å³/cell
# SG: No. 2
data_Tb6Sm2Cd
_chemical_formula_sum 'Tb12 Sm4 Cd2'
_cell_length_a 6.6035
_cell_length_b 9.1190
_cell_length_c 10.7773
_cell_angle_alpha 113.00
_cell_angle_beta 105.19
_cell_angle_gamma 95.93
_symmetry_space_group_name_H-M 'P 1'
_symmetry_Int_Tables_number 1
loop_
_symmetry_equiv_pos_as_xyz
'x,y,z'
loop_
_atom_site_label
_atom_site_type_symbol
_atom_site_fract_x
_atom_site_fract_y
_atom_site_fract_z
Tb1 Tb 0.0303 0.3057 0.4389
Tb2 Tb 0.0575 0.3079 0.1151
Tb3 Tb 0.2780 0.0282 0.5562
Tb4 Tb 0.2813 0.0275 0.8892
Tb5 Tb 0.3932 0.6385 0.1109
Tb6 Tb 0.4086 0.6334 0.4391
Tb7 Tb 0.5914 0.3666 0.5609
Tb8 Tb 0.6068 0.3615 0.8891
Tb9 Tb 0.7187 0.9725 0.1108
Tb10 Tb 0.7220 0.9718 0.4438
Tb11 Tb 0.9425 0.6921 0.8849
Tb12 Tb 0.9697 0.6943 0.5611
Sm1 Sm 0.0482 0.3107 0.7703
Sm2 Sm 0.2786 0.0407 0.2296
Sm3 Sm 0.7214 0.9593 0.7704
Sm4 Sm 0.9518 0.6893 0.2297
Cd1 Cd 0.3902 0.6400 0.7802
Cd2 Cd 0.6098 0.3600 0.2198


Run two
# Tb6Sm2Cd (PBE, optimized geometry)
# V: 559 Å³/cell
# SG: No. 136
data_Tb6Sm2Cd
_chemical_formula_sum 'Tb12 Sm4 Cd2'
_cell_length_a 10.5751
_cell_length_b 10.5751
_cell_length_c 4.9974
_cell_angle_alpha 90.00
_cell_angle_beta 90.00
_cell_angle_gamma 90.00
_symmetry_space_group_name_H-M 'P 1'
_symmetry_Int_Tables_number 1
loop_
_symmetry_equiv_pos_as_xyz
'x,y,z'
loop_
_atom_site_label
_atom_site_type_symbol
_atom_site_fract_x
_atom_site_fract_y
_atom_site_fract_z
Tb1 Tb 0.0001 0.3328 0.0000
Tb2 Tb 0.9999 0.6672 0.0000
Tb3 Tb 0.1651 0.1651 0.5000
Tb4 Tb 0.1672 0.5001 0.5000
Tb5 Tb 0.3328 0.0001 0.0000
Tb6 Tb 0.3349 0.6651 0.0000
Tb7 Tb 0.5001 0.1672 0.5000
Tb8 Tb 0.4999 0.8328 0.5000
Tb9 Tb 0.6651 0.3349 0.0000
Tb10 Tb 0.6672 0.9999 0.0000
Tb11 Tb 0.8328 0.4999 0.5000
Tb12 Tb 0.8349 0.8349 0.5000
Sm1 Sm 0.1635 0.8365 0.5000
Sm2 Sm 0.3365 0.3365 0.0000
Sm3 Sm 0.6635 0.6635 0.0000
Sm4 Sm 0.8365 0.1635 0.5000
Cd1 Cd 0.0000 0.0000 0.0000
Cd2 Cd 0.5000 0.5000 0.5000


Of them, the most stable is run one and the least stable is run two.


Run one
# Tb2SmCd2 (PBE, optimized geometry)
# V: 281 Å³/cell
# SG: No. 11
data_Tb2SmCd2
_chemical_formula_sum 'Tb4 Sm2 Cd4'
_cell_length_a 3.7520
_cell_length_b 5.4165
_cell_length_c 13.9558
_cell_angle_alpha 90.00
_cell_angle_beta 97.74
_cell_angle_gamma 90.00
_symmetry_space_group_name_H-M 'P 1'
_symmetry_Int_Tables_number 1
loop_
_symmetry_equiv_pos_as_xyz
'x,y,z'
loop_
_atom_site_label
_atom_site_type_symbol
_atom_site_fract_x
_atom_site_fract_y
_atom_site_fract_z
Tb1 Tb 0.0464 0.2500 0.0919
Tb2 Tb 0.2358 0.2500 0.4725
Tb3 Tb 0.7642 0.7500 0.5275
Tb4 Tb 0.9536 0.7500 0.9081
Sm1 Sm 0.1492 0.7500 0.2966
Sm2 Sm 0.8508 0.2500 0.7034
Cd1 Cd 0.3587 0.7500 0.7176
Cd2 Cd 0.4500 0.2500 0.9006
Cd3 Cd 0.5500 0.7500 0.0994
Cd4 Cd 0.6413 0.2500 0.2824


Run two
# Tb2SmCd2 (PBE, optimized geometry)
# V: 283 Å³/cell
# SG: No. 36
data_Tb2SmCd2
_chemical_formula_sum 'Tb4 Sm2 Cd4'
_cell_length_a 8.4954
_cell_length_b 8.4954
_cell_length_c 6.4782
_cell_angle_alpha 90.00
_cell_angle_beta 90.00
_cell_angle_gamma 142.75
_symmetry_space_group_name_H-M 'P 1'
_symmetry_Int_Tables_number 1
loop_
_symmetry_equiv_pos_as_xyz
'x,y,z'
loop_
_atom_site_label
_atom_site_type_symbol
_atom_site_fract_x
_atom_site_fract_y
_atom_site_fract_z
Tb1 Tb 0.0315 0.9685 0.5000
Tb2 Tb 0.1956 0.8044 0.0994
Tb3 Tb 0.8044 0.1956 0.5994
Tb4 Tb 0.9685 0.0315 0.0000
Sm1 Sm 0.4148 0.5852 0.3371
Sm2 Sm 0.5852 0.4148 0.8371
Cd1 Cd 0.2150 0.7850 0.5981
Cd2 Cd 0.3796 0.6204 0.8344
Cd3 Cd 0.6204 0.3796 0.3344
Cd4 Cd 0.7850 0.2150 0.0981


Of them, the most stable is run one and the least stable is run two.


Run one
# TbSm4Cd (PBE, optimized geometry)
# V: 383 Å³/cell
# SG: No. 15
data_TbSm4Cd
_chemical_formula_sum 'Tb2 Sm8 Cd2'
_cell_length_a 8.4334
_cell_length_b 8.4334
_cell_length_c 6.3875
_cell_angle_alpha 100.01
_cell_angle_beta 100.01
_cell_angle_gamma 116.64
_symmetry_space_group_name_H-M 'P 1'
_symmetry_Int_Tables_number 1
loop_
_symmetry_equiv_pos_as_xyz
'x,y,z'
loop_
_atom_site_label
_atom_site_type_symbol
_atom_site_fract_x
_atom_site_fract_y
_atom_site_fract_z
Tb1 Tb 0.0880 0.9120 0.7500
Tb2 Tb 0.9120 0.0880 0.2500
Sm1 Sm 0.0945 0.3352 0.8764
Sm2 Sm 0.2114 0.5929 0.4550
Sm3 Sm 0.3352 0.0945 0.3764
Sm4 Sm 0.4071 0.7886 0.0450
Sm5 Sm 0.5929 0.2114 0.9550
Sm6 Sm 0.6648 0.9055 0.6236
Sm7 Sm 0.7886 0.4071 0.5450
Sm8 Sm 0.9055 0.6648 0.1236
Cd1 Cd 0.4992 0.5008 0.7500
Cd2 Cd 0.5008 0.4992 0.2500


Run two
# TbSm4Cd (PBE, optimized geometry)
# V: 189 Å³/cell
# SG: No. 123
data_TbSm4Cd
_chemical_formula_sum 'Tb1 Sm4 Cd1'
_cell_length_a 3.6338
_cell_length_b 3.6338
_cell_length_c 14.3011
_cell_angle_alpha 90.00
_cell_angle_beta 90.00
_cell_angle_gamma 90.00
_symmetry_space_group_name_H-M 'P 1'
_symmetry_Int_Tables_number 1
loop_
_symmetry_equiv_pos_as_xyz
'x,y,z'
loop_
_atom_site_label
_atom_site_type_symbol
_atom_site_fract_x
_atom_site_fract_y
_atom_site_fract_z
Tb1 Tb 0.0000 0.0000 0.0000
Sm1 Sm 0.0000 0.0000 0.3533
Sm2 Sm 0.0000 0.0000 0.6467
Sm3 Sm 0.5000 0.5000 0.1763
Sm4 Sm 0.5000 0.5000 0.8237
Cd1 Cd 0.5000 0.5000 0.5000


Of them, the most stable is run two and the least stable is run one.


Run one
# Tb6SmCd (PBE, optimized geometry)
# V: 245 Å³/cell
# SG: No. 123
data_Tb6SmCd
_chemical_formula_sum 'Tb6 Sm1 Cd1'
_cell_length_a 4.9350
_cell_length_b 4.9350
_cell_length_c 10.0549
_cell_angle_alpha 90.00
_cell_angle_beta 90.00
_cell_angle_gamma 90.00
_symmetry_space_group_name_H-M 'P 1'
_symmetry_Int_Tables_number 1
loop_
_symmetry_equiv_pos_as_xyz
'x,y,z'
loop_
_atom_site_label
_atom_site_type_symbol
_atom_site_fract_x
_atom_site_fract_y
_atom_site_fract_z
Tb1 Tb 0.0000 0.0000 0.0000
Tb2 Tb 0.0000 0.0000 0.5000
Tb3 Tb 0.0000 0.5000 0.2439
Tb4 Tb 0.0000 0.5000 0.7561
Tb5 Tb 0.5000 0.0000 0.2439
Tb6 Tb 0.5000 0.0000 0.7561
Sm1 Sm 0.5000 0.5000 0.5000
Cd1 Cd 0.5000 0.5000 0.0000


Run two
# Tb6SmCd (PBE, optimized geometry)
# V: 251 Å³/cell
# SG: No. 2
data_Tb6SmCd
_chemical_formula_sum 'Tb6 Sm1 Cd1'
_cell_length_a 6.3296
_cell_length_b 6.3316
_cell_length_c 6.3318
_cell_angle_alpha 94.52
_cell_angle_beta 94.61
_cell_angle_gamma 94.50
_symmetry_space_group_name_H-M 'P 1'
_symmetry_Int_Tables_number 1
loop_
_symmetry_equiv_pos_as_xyz
'x,y,z'
loop_
_atom_site_label
_atom_site_type_symbol
_atom_site_fract_x
_atom_site_fract_y
_atom_site_fract_z
Tb1 Tb 0.0401 0.2591 0.0519
Tb2 Tb 0.2410 0.9484 0.4594
Tb3 Tb 0.4481 0.4595 0.7410
Tb4 Tb 0.5519 0.5405 0.2590
Tb5 Tb 0.7590 0.0516 0.5406
Tb6 Tb 0.9599 0.7409 0.9481
Sm1 Sm 0.5000 0.0000 0.0000
Cd1 Cd 0.0000 0.5000 0.5000


Of them, the most stable is run one and the least stable is run two.